Record 1
Material: CsBaAg
Method: DFT, GGA-PBE
State: optimized geometry

Summary:
The crystal system is tetragonal. Its size of the total moment is 0.0 μB per cell. The value obtained for the electronic total energy is -11.3 eV for the cell shown. The energy of formation comes out at -0.039 eV per formula unit.

a b c (Å): 4.3575 4.3575 16.8720
angles (deg): 90.00 90.00 90.00
Closest atoms and distances in Å follow each position.
Space group I4mm (No. 107)
Asymmetric unit:
Cs 0.0000 0.0000 0.0000 [2 per cell]  4 Ag 4.02, 1 Ba 4.23, 4 Cs 4.36
Ba 0.0000 0.0000 0.2504 [2 per cell]  4 Ag 3.49
Ag 0.0000 0.0000 0.6533 [2 per cell]  4 Ba 3.49

Record 2
Material: CsBa2Ag
Method: DFT, GGA-PBE
State: optimized geometry

Summary:
The crystal system is tetragonal. The offset from the most stable computed form comes out at 25 meV/atom. Its size of the total moment is 0.0 μB per cell. The value obtained for the electronic total energy is -7.7 eV for the cell shown. The energy of formation comes out at -0.195 eV per formula unit.

a b c (Å): 4.2796 4.2796 12.0969
angles (deg): 90.00 90.00 90.00
Closest atoms and distances in Å follow each position.
Space group P4/mmm (No. 123)
Asymmetric unit:
Cs 0.0000 0.0000 0.0000 [1 per cell]  4 Cs 4.28
Ba 0.5000 0.5000 0.3402 [2 per cell]  4 Ag 3.59, 1 Ba 3.87
Ag 0.0000 0.0000 0.5000 [1 per cell]  8 Ba 3.59

Record 3
Material: CsBa3Ag
Method: DFT, GGA-PBE
State: optimized geometry

Summary:
The crystal system is cubic. The offset from the most stable computed form comes out at 0 meV/atom. Its size of the total moment is 0.0 μB per cell. The value obtained for the electronic total energy is -9.6 eV for the cell shown. The energy of formation comes out at -0.129 eV per formula unit.

a b c (Å): 6.7977 6.7977 6.7977
angles (deg): 90.00 90.00 90.00
Closest atoms and distances in Å follow each position.
Space group Pm-3m (No. 221)
Asymmetric unit:
Cs 0.0000 0.0000 0.0000 [1 per cell]  12 Ba 4.81
Ba 0.0000 0.5000 0.5000 [3 per cell]  2 Ag 3.40
Ag 0.5000 0.5000 0.5000 [1 per cell]  6 Ba 3.40

Record 4
Material: CsBa2Ag2
Method: DFT, GGA-PBE
State: optimized geometry

Summary:
The crystal system is tetragonal. The offset from the most stable computed form comes out at 0 meV/atom. Its size of the total moment is 0.0 μB per cell. The value obtained for the electronic total energy is -21.7 eV for the cell shown. The energy of formation comes out at -0.459 eV per formula unit.

a b c (Å): 9.4719 9.4719 4.8112
angles (deg): 90.00 90.00 90.00
Closest atoms and distances in Å follow each position.
Space group P4/mbm (No. 127)
Asymmetric unit:
Cs 0.0000 0.0000 0.0000 [2 per cell]  4 Ag 3.82
Ba 0.1597 0.3403 0.5000 [4 per cell]  6 Ag 3.55-3.89
Ag 0.1125 0.6125 0.0000 [4 per cell]  1 Ag 3.01

Record 5
Material: Cs2BaAg
Method: DFT, GGA-PBE
State: optimized geometry

Summary:
The crystal system is cubic. Its size of the total moment is 0.0 μB per cell. The value obtained for the electronic total energy is -20.2 eV for the cell shown. The energy of formation comes out at 1.422 eV per formula unit.

a b c (Å): 10.0125 10.0125 10.0125
angles (deg): 90.00 90.00 90.00
Closest atoms and distances in Å follow each position.
Space group Fm-3m (No. 225)
Asymmetric unit:
Cs 0.2500 0.2500 0.2500 [8 per cell]  4 Ag 4.34, 4 Ba 4.34
Ba 0.0000 0.0000 0.0000 [4 per cell]  8 Cs 4.34
Ag 0.0000 0.0000 0.5000 [4 per cell]  8 Cs 4.34

Record 6
Material: CsBa2Ag
Method: DFT, GGA-PBE
State: optimized geometry

Summary:
The crystal system is trigonal. The offset from the most stable computed form comes out at 42 meV/atom. Its size of the total moment is 0.0 μB per cell. The value obtained for the electronic total energy is -23.0 eV for the cell shown. The energy of formation comes out at -0.127 eV per formula unit.

a b c (Å): 4.9195 4.9195 39.3533
angles (deg): 90.00 90.00 120.00
Closest atoms and distances in Å follow each position.
Space group R-3m (No. 166, hexagonal axes)
Asymmetric unit:
Cs 0.0000 0.0000 0.0000 [3 per cell]  2 Ba 4.76, 6 Cs 4.92
Ba 0.0000 0.0000 0.1210 [6 per cell]  3 Ag 3.36
Ag 0.0000 0.0000 0.5000 [3 per cell]  6 Ba 3.36

Record 7
Material: CsBaAg10
Method: DFT, GGA-PBE
State: optimized geometry

Summary:
The crystal system is orthorhombic. Its size of the total moment is 0.0 μB per cell. The value obtained for the electronic total energy is -31.7 eV for the cell shown. The energy of formation comes out at -0.411 eV per formula unit.

a b c (Å): 4.4912 6.1690 10.5196
angles (deg): 90.00 90.00 90.00
Closest atoms and distances in Å follow each position.
Space group Pmmm (No. 47)
Asymmetric unit:
Cs 0.0000 0.0000 0.0000 [1 per cell]  18 Ag 3.53-3.90
Ba 0.0000 0.5000 0.5000 [1 per cell]  18 Ag 3.48-3.82
Ag 0.0000 0.0000 0.3352 [2 per cell]  6 Ag 2.84-2.87
Ag 0.0000 0.5000 0.1690 [2 per cell]  6 Ag 2.86
Ag 0.5000 0.0000 0.5000 [1 per cell]  8 Ag 2.84-2.97
Ag 0.5000 0.2606 0.2624 [4 per cell]  7 Ag 2.86-3.13
Ag 0.5000 0.5000 0.0000 [1 per cell]  8 Ag 2.86-3.13

Record 8
Material: CsBa2Ag
Method: DFT, GGA-PBE
State: optimized geometry

Summary:
The crystal system is cubic. The offset from the most stable computed form comes out at 250 meV/atom. Its size of the total moment is 0.0 μB per cell. The value obtained for the electronic total energy is -27.4 eV for the cell shown. The energy of formation comes out at 0.705 eV per formula unit.

a b c (Å): 9.0205 9.0205 9.0205
angles (deg): 90.00 90.00 90.00
Closest atoms and distances in Å follow each position.
Space group Fm-3m (No. 225)
Asymmetric unit:
Cs 0.0000 0.0000 0.0000 [4 per cell]  8 Ba 3.91
Ba 0.2500 0.2500 0.2500 [8 per cell]  4 Cs 3.91, 4 Ag 3.91
Ag 0.0000 0.0000 0.5000 [4 per cell]  8 Ba 3.91

Record 9
Material: CsBaAg3
Method: DFT, GGA-PBE
State: optimized geometry

Summary:
The crystal system is cubic. The offset from the most stable computed form comes out at 0 meV/atom. Its size of the total moment is 0.0 μB per cell. The value obtained for the electronic total energy is -9.9 eV for the cell shown. The energy of formation comes out at 1.383 eV per formula unit.

a b c (Å): 6.4566 6.4566 6.4566
angles (deg): 90.00 90.00 90.00
Closest atoms and distances in Å follow each position.
Space group Pm-3m (No. 221)
Asymmetric unit:
Cs 0.0000 0.0000 0.0000 [1 per cell]  12 Ag 4.57
Ba 0.5000 0.5000 0.5000 [1 per cell]  6 Ag 3.23
Ag 0.0000 0.5000 0.5000 [3 per cell]  2 Ba 3.23

Record 10
Material: CsBaAg2F8
Method: DFT, GGA-PBE
State: optimized geometry

Summary:
The crystal system is tetragonal. Its size of the total moment is 1.5 μB per cell. The value obtained for the electronic total energy is -96.9 eV for the cell shown. The calculation puts the energy relative to the elements, uncorrected at -2082 meV/atom.

a b c (Å): 6.4599 6.4599 10.5364
angles (deg): 90.00 90.00 90.00
Closest atoms and distances in Å follow each position.
Space group I-4 (No. 82)
Asymmetric unit:
Cs 0.0000 0.0000 0.0000 [2 per cell]  8 F 3.08-3.43
Ba 0.0000 0.5000 0.7500 [2 per cell]  8 F 2.64-2.79
Ag 0.0000 0.0000 0.5000 [2 per cell]  4 F 2.00
Ag 0.0000 0.5000 0.2500 [2 per cell]  4 F 2.09
F 0.0050 0.6915 0.5125 [8 per cell]  1 Ag 2.00
F 0.1542 0.7839 0.2425 [8 per cell]  1 Ag 2.09

Record 11
Material: CsBa2AgF8
Method: DFT, GGA-PBE
State: optimized geometry

Summary:
The crystal system is triclinic. Its size of the total moment is 0.2 μB per cell. The value obtained for the electronic total energy is -55.1 eV for the cell shown. The calculation puts the energy relative to the elements, uncorrected at -2714 meV/atom.

a b c (Å): 4.5444 6.3382 8.8328
angles (deg): 84.88 85.90 81.95
Closest atoms and distances in Å follow each position.
Space group P-1 (No. 2)
Asymmetric unit:
Cs 0.0000 0.0000 0.0000 [1 per cell]  8 F 2.90-3.13
Ba 0.4939 0.4996 0.2502 [2 per cell]  4 F 2.55-2.61
Ag 0.0000 0.0000 0.5000 [1 per cell]  4 F 1.97-1.99
F 0.0431 0.3213 0.7174 [2 per cell]  2 Ba 2.55-2.57
F 0.0974 0.1739 0.3113 [2 per cell]  1 Ag 1.97
F 0.3760 0.7981 0.4860 [2 per cell]  1 Ag 1.99
F 0.4479 0.2900 0.0158 [2 per cell]  2 Ba 2.59-2.61, 1 F 2.76, 1 Cs 2.90

Record 12
Material: Cs2BaAgF6
Method: DFT, GGA-PBE
State: optimized geometry

Summary:
The crystal system is tetragonal. Its size of the total moment is 2.0 μB per cell. The value obtained for the electronic total energy is -86.7 eV for the cell shown. The calculation puts the energy relative to the elements, uncorrected at -2564 meV/atom.

a b c (Å): 6.6525 6.6525 10.2779
angles (deg): 90.00 90.00 90.00
Closest atoms and distances in Å follow each position.
Space group I4/mmm (No. 139)
Asymmetric unit:
Cs 0.0000 0.5000 0.2500 [4 per cell]  12 F 3.33-3.49
Ba 0.0000 0.0000 0.0000 [2 per cell]  6 F 2.54-2.56
Ag 0.0000 0.0000 0.5000 [2 per cell]  4 F 2.14
F 0.0000 0.0000 0.2469 [4 per cell]  1 Ba 2.54, 1 Ag 2.60
F 0.2279 0.2279 0.5000 [8 per cell]  1 Ag 2.14

> Which value of size of the total moment does entry 5 give?

0.0 μB per cell